1.
# ScAu2Cl

Crystalline ScAu2Cl at its relaxed geometry (PBE-GGA, Alexandria).

Structure (extended XYZ):
```
8
Lattice="-4.046 4.046 2.650 4.046 -4.046 2.650 4.046 4.046 -2.650" Properties=species:S:1:pos:R:3 pbc="T T T"
Sc 0.000 0.000 0.000
Sc 0.000 4.046 1.325
Au 6.068 1.862 -0.662
Au 1.862 2.023 0.662
Au -2.023 2.183 1.987
Au 2.183 2.023 3.312
Cl 4.046 0.000 1.325
Cl 0.000 0.000 2.650
```

Results
- ΔE_f (raw): -2.489 eV per formula unit
- Space group: I-42d
- Relative energy among the computed polymorphs: 209 meV/atom



2.
# CoGe

Crystalline CoGe at its relaxed geometry (PBE-GGA, Alexandria).

Structure (extended XYZ):
```
12
Lattice="8.274 0.000 0.000 -4.137 7.166 0.000 0.000 0.000 3.425" Properties=species:S:1:pos:R:3 pbc="T T T"
Co -1.457 4.396 0.856
Co 1.059 3.706 0.856
Co 0.399 6.230 0.856
Co 3.739 0.936 2.569
Co 3.079 3.460 2.569
Co 5.594 2.770 2.569
Ge -0.383 3.039 2.569
Ge -1.313 5.978 2.569
Ge 2.441 1.851 0.856
Ge 1.696 5.314 2.569
Ge 5.451 1.188 0.856
Ge 4.520 4.126 0.856
```

Results
- DFT formation energy: -0.01 eV per atom
- Space group: P6_3/m



3.
# TlAsClO2

Crystalline TlAsClO2 at its relaxed geometry (PBE-GGA, Alexandria).

Structure (extended XYZ):
```
10
Lattice="7.097 0.000 0.000 0.000 4.079 0.000 -1.961 0.000 7.252" Properties=species:S:1:pos:R:3 pbc="T T T"
Tl 0.622 1.020 3.316
Tl 4.514 3.059 3.935
As -0.918 1.020 6.658
As 6.055 3.059 0.594
Cl 1.859 3.059 5.087
Cl 3.277 1.020 2.164
O -0.516 3.059 2.334
O -1.419 3.059 6.885
O 6.555 1.020 0.367
O 5.653 1.020 4.918
```

Results
- ΔE_f (raw): -4.396 eV per formula unit
- Space group: P2_1/m



4.
# BaTi2PtRh

Crystalline BaTi2PtRh at its relaxed geometry (PBE-GGA, Alexandria).

Structure (extended XYZ):
```
5
Lattice="4.799 0.000 0.000 0.000 4.799 0.000 0.000 0.000 5.322" Properties=species:S:1:pos:R:3 pbc="T T T"
Ba 0.000 0.000 0.000
Ti 0.000 2.399 2.661
Ti 2.399 0.000 2.661
Pt 2.399 2.399 2.661
Rh 2.399 2.399 0.000
```

Results
- DFT formation energy: 0.26 eV per atom
- Space group: P4/mmm



5.
# Gd2ZrO

Crystalline Gd2ZrO at its relaxed geometry (PBE-GGA, Alexandria).

Structure (extended XYZ):
```
4
Lattice="1.705 0.984 9.008 -1.705 0.984 9.008 0.000 -1.968 9.008" Properties=species:S:1:pos:R:3 pbc="T T T"
Gd 0.000 0.000 3.094
Gd 0.000 0.000 23.929
Zr 0.000 0.000 0.000
O 0.000 0.000 13.512
```

Results
- ΔE_f (raw): -4.105 eV per formula unit
- Space group: R-3m



6.
# RbCu2AuF8

Crystalline RbCu2AuF8 at its relaxed geometry (PBE-GGA, Alexandria).

Structure (extended XYZ):
```
12
Lattice="2.703 1.561 8.308 -2.703 1.561 8.308 0.000 -3.121 8.308" Properties=species:S:1:pos:R:3 pbc="T T T"
Rb 0.000 0.000 0.000
Cu 0.000 0.000 6.180
Cu 0.000 0.000 18.744
Au 0.000 0.000 12.462
F -0.899 -1.436 11.004
F -0.794 -1.497 13.921
F 0.000 0.000 8.008
F -0.794 1.497 11.004
F -0.899 1.436 13.921
F 0.000 0.000 16.917
F 1.693 -0.060 11.004
F 1.693 0.060 13.921
```

Results
- ΔE_f (raw): -16.469 eV per formula unit
- Space group: R32



7.
# Ce7Th2

Crystalline Ce7Th2 at its relaxed geometry (PBE-GGA, Alexandria).

Structure (extended XYZ):
```
9
Lattice="5.897 0.000 0.000 -2.949 5.107 0.000 0.000 0.000 8.284" Properties=species:S:1:pos:R:3 pbc="T T T"
Ce 0.000 0.000 0.000
Ce -0.979 1.697 5.498
Ce -1.969 3.411 2.786
Ce 1.959 0.000 5.498
Ce 0.979 1.697 2.786
Ce 3.938 0.000 2.786
Ce 1.969 3.411 5.498
Th 0.000 3.405 0.000
Th 2.949 1.702 0.000
```

Results
- DFT formation energy: 0.02 eV per atom
- Space group: P-31m
- Relative energy among the computed polymorphs: 0 meV/atom



8.
# YMn2Al

Crystalline YMn2Al at its relaxed geometry (PBE-GGA, Alexandria).

Structure (extended XYZ):
```
4
Lattice="4.996 -1.536 0.000 4.996 1.536 0.000 -1.475 0.000 4.576" Properties=species:S:1:pos:R:3 pbc="T T T"
Y 0.000 0.000 0.000
Mn 1.166 0.000 3.563
Mn 4.358 0.000 2.283
Al 7.248 0.000 1.591
```

Results
- DFT formation energy: 0.15 eV per atom
- Space group: Cm



Number 1: M_tot 0.0000 μB per atom, D(E_F) 1.00 states/eV/cell. Number 2: M_tot 0.0002 μB per atom, D(E_F) 11.51 states/eV/cell. Number 3: M_tot 0.0000 μB per atom, D(E_F) 6.98 states/eV/cell. Number 4: M_tot 0.0006 μB per atom, D(E_F) 10.79 states/eV/cell. Number 5: M_tot 3.8615 μB per atom, D(E_F) 4.66 states/eV/cell. Number 6: M_tot 0.3436 μB per atom, D(E_F) 10.05 states/eV/cell. Number 7: M_tot 0.0000 μB per atom, D(E_F) 21.23 states/eV/cell. Number 8: M_tot 1.3685 μB per atom, D(E_F) 3.84 states/eV/cell.